Below is a relaxed structure of Ba2RuF6, with properties calculated at the PBE level.

Results
Raw formation energy (eV/atom): -2.91
Density (Mg/m³): 5.15
Total magnetic moment (Bohr magnetons per cell): 0.3

```
data_Ba2RuF6
_chemical_formula_sum 'Ba4 Ru2 F12'
_cell_length_a 5.404
_cell_length_b 7.093
_cell_length_c 9.568
_cell_angle_alpha 90.00
_cell_angle_beta 120.48
_cell_angle_gamma 90.00
_symmetry_space_group_name_H-M 'P 1 21/c 1'
_symmetry_Int_Tables_number 14
_symmetry_space_group_name_Hall '-P 2ybc'
loop_
_atom_site_label
_atom_site_type_symbol
_atom_site_fract_x
_atom_site_fract_y
_atom_site_fract_z
_atom_site_occupancy
Ba1 Ba 0.215 0.103 0.259 1
Ru1 Ru 0.500 0.000 0.000 1
F1 F 0.132 0.155 0.956 1
F2 F 0.319 0.028 0.747 1
F3 F 0.319 0.724 0.941 1
```

Below is a relaxed structure of BaRu2F8, with properties calculated at the PBE level.

Results
Raw formation energy (eV/atom): -1.96
Density (Mg/m³): 3.98
Total magnetic moment (Bohr magnetons per cell): 8.0
DOS(E_F) (states/eV per atom): 0.50

```
data_BaRu2F8
_chemical_formula_sum 'Ba1 Ru2 F8'
_cell_length_a 4.142
_cell_length_b 7.559
_cell_length_c 7.562
_cell_angle_alpha 60.10
_cell_angle_beta 89.93
_cell_angle_gamma 89.95
_symmetry_space_group_name_H-M 'P -1'
_symmetry_Int_Tables_number 2
_symmetry_space_group_name_Hall '-P 1'
loop_
_atom_site_label
_atom_site_type_symbol
_atom_site_fract_x
_atom_site_fract_y
_atom_site_fract_z
_atom_site_occupancy
Ba1 Ba 0.000 0.000 0.000 1
Ru1 Ru 0.290 0.333 0.333 1
F1 F 0.211 0.667 0.667 1
F2 F 0.285 0.179 0.643 1
F3 F 0.286 0.177 0.179 1
F4 F 0.286 0.644 0.177 1
```

Below is a relaxed structure of BaRuF2, with properties calculated at the PBE level.

Results
Raw formation energy (eV/atom): -1.33
Density (Mg/m³): 5.66
Total magnetic moment (Bohr magnetons per cell): 8.4
DOS(E_F) (states/eV per atom): 0.39
Excess energy over the best structure of this formula in the dataset (meV/atom): 238.2

```
data_BaRuF2
_chemical_formula_sum 'Ba4 Ru4 F8'
_cell_length_a 4.630
_cell_length_b 4.630
_cell_length_c 15.117
_cell_angle_alpha 90.00
_cell_angle_beta 90.00
_cell_angle_gamma 90.00
_symmetry_space_group_name_H-M 'I -4 2 d'
_symmetry_Int_Tables_number 122
_symmetry_space_group_name_Hall 'I -4 2bw'
loop_
_atom_site_label
_atom_site_type_symbol
_atom_site_fract_x
_atom_site_fract_y
_atom_site_fract_z
_atom_site_occupancy
Ba1 Ba 0.000 0.000 0.000 1
Ru1 Ru 0.000 0.000 0.500 1
F1 F 0.175 0.250 0.625 1
```

Below is a relaxed structure of BaRu3F, with properties calculated at the PBE level.

Results
Raw formation energy (eV/atom): 2.49
Density (Mg/m³): 5.54
Total magnetic moment (Bohr magnetons per cell): 5.9
DOS(E_F) (states/eV per atom): 1.26

```
data_BaRu3F
_chemical_formula_sum 'Ba1 Ru3 F1'
_cell_length_a 5.165
_cell_length_b 5.165
_cell_length_c 5.165
_cell_angle_alpha 90.00
_cell_angle_beta 90.00
_cell_angle_gamma 90.00
_symmetry_space_group_name_H-M 'P m -3 m'
_symmetry_Int_Tables_number 221
_symmetry_space_group_name_Hall '-P 4 2 3'
loop_
_atom_site_label
_atom_site_type_symbol
_atom_site_fract_x
_atom_site_fract_y
_atom_site_fract_z
_atom_site_occupancy
Ba1 Ba 0.000 0.000 0.000 1
Ru1 Ru 0.000 0.000 0.500 1
F1 F 0.500 0.500 0.500 1
```

Below is a relaxed structure of BaRu2F11, with properties calculated at the PBE level.

Results
Raw formation energy (eV/atom): -2.22
Density (Mg/m³): 3.72
Total magnetic moment (Bohr magnetons per cell): 20.0
DOS(E_F) (states/eV per atom): 0.51

```
data_BaRu2F11
_chemical_formula_sum 'Ba4 Ru8 F44'
_cell_length_a 9.302
_cell_length_b 9.381
_cell_length_c 11.226
_cell_angle_alpha 90.00
_cell_angle_beta 90.00
_cell_angle_gamma 90.00
_symmetry_space_group_name_H-M 'I b a m'
_symmetry_Int_Tables_number 72
_symmetry_space_group_name_Hall '-I 2 2c'
loop_
_atom_site_label
_atom_site_type_symbol
_atom_site_fract_x
_atom_site_fract_y
_atom_site_fract_z
_atom_site_occupancy
Ba1 Ba 0.000 0.000 0.250 1
Ru1 Ru 0.152 0.346 0.000 1
F1 F 0.000 0.500 0.000 1
F2 F 0.051 0.242 0.121 1
F3 F 0.208 0.296 0.500 1
F4 F 0.242 0.055 0.379 1
```

Below is a relaxed structure of BaRuF3, with properties calculated at the PBE level.

Results
Raw formation energy (eV/atom): -1.84
Density (Mg/m³): 5.77
Total magnetic moment (Bohr magnetons per cell): 0.9
DOS(E_F) (states/eV per atom): 0.22
Excess energy over the best structure of this formula in the dataset (meV/atom): 0.0

```
data_BaRuF3
_chemical_formula_sum 'Ba1 Ru1 F3'
_cell_length_a 4.398
_cell_length_b 4.398
_cell_length_c 4.398
_cell_angle_alpha 90.00
_cell_angle_beta 90.00
_cell_angle_gamma 90.00
_symmetry_space_group_name_H-M 'P m -3 m'
_symmetry_Int_Tables_number 221
_symmetry_space_group_name_Hall '-P 4 2 3'
loop_
_atom_site_label
_atom_site_type_symbol
_atom_site_fract_x
_atom_site_fract_y
_atom_site_fract_z
_atom_site_occupancy
Ba1 Ba 0.000 0.000 0.000 1
Ru1 Ru 0.500 0.500 0.500 1
F1 F 0.000 0.500 0.500 1
```

Below is a relaxed structure of BaRuF2, with properties calculated at the PBE level.

Results
Raw formation energy (eV/atom): -1.57
Density (Mg/m³): 4.83
Total magnetic moment (Bohr magnetons per cell): 6.0
DOS(E_F) (states/eV per atom): 0.38
Excess energy over the best structure of this formula in the dataset (meV/atom): 0.0

```
data_BaRuF2
_chemical_formula_sum 'Ba3 Ru3 F6'
_cell_length_a 4.5311
_cell_length_b 4.5311
_cell_length_c 16.0439
_cell_angle_alpha 90.00
_cell_angle_beta 90.00
_cell_angle_gamma 120.00
_symmetry_space_group_name_H-M 'R -3 m'
_symmetry_Int_Tables_number 166
_symmetry_space_group_name_Hall '-R 3 2"'
loop_
_atom_site_label
_atom_site_type_symbol
_atom_site_fract_x
_atom_site_fract_y
_atom_site_fract_z
_atom_site_occupancy
Ba1 Ba 0.0000 0.0000 0.0000 1
Ru1 Ru 0.0000 0.0000 0.5000 1
F1 F 0.0000 0.0000 0.3719 1
```

Below is a relaxed structure of BaRuF3, with properties calculated at the PBE level.

Results
Raw formation energy (eV/atom): -1.49
Density (Mg/m³): 3.79
Total magnetic moment (Bohr magnetons per cell): 3.0
DOS(E_F) (states/eV per atom): 1.56
Excess energy over the best structure of this formula in the dataset (meV/atom): 347.8

```
data_BaRuF3
_chemical_formula_sum 'Ba1 Ru1 F3'
_cell_length_a 5.056
_cell_length_b 5.056
_cell_length_c 5.056
_cell_angle_alpha 90.00
_cell_angle_beta 90.00
_cell_angle_gamma 90.00
_symmetry_space_group_name_H-M 'P m -3 m'
_symmetry_Int_Tables_number 221
_symmetry_space_group_name_Hall '-P 4 2 3'
loop_
_atom_site_label
_atom_site_type_symbol
_atom_site_fract_x
_atom_site_fract_y
_atom_site_fract_z
_atom_site_occupancy
Ba1 Ba 0.000 0.000 0.000 1
Ru1 Ru 0.500 0.500 0.500 1
F1 F 0.000 0.000 0.500 1
```

Below is a relaxed structure of BaRuF2, with properties calculated at the PBE level.

Results
Raw formation energy (eV/atom): -1.22
Density (Mg/m³): 6.46
Total magnetic moment (Bohr magnetons per cell): 8.9
DOS(E_F) (states/eV per atom): 0.69
Excess energy over the best structure of this formula in the dataset (meV/atom): 347.0

```
data_BaRuF2
_chemical_formula_sum 'Ba4 Ru4 F8'
_cell_length_a 6.576
_cell_length_b 6.576
_cell_length_c 6.576
_cell_angle_alpha 90.00
_cell_angle_beta 90.00
_cell_angle_gamma 90.00
_symmetry_space_group_name_H-M 'F m -3 m'
_symmetry_Int_Tables_number 225
_symmetry_space_group_name_Hall '-F 4 2 3'
loop_
_atom_site_label
_atom_site_type_symbol
_atom_site_fract_x
_atom_site_fract_y
_atom_site_fract_z
_atom_site_occupancy
Ba1 Ba 0.000 0.000 0.000 1
Ru1 Ru 0.000 0.000 0.500 1
F1 F 0.250 0.250 0.250 1
```

Below is a relaxed structure of BaTl2RuF8, with properties calculated at the PBE level.

Results
Raw formation energy (eV/atom): -2.30
Density (Mg/m³): 5.61
Total magnetic moment (Bohr magnetons per cell): 2.0
DOS(E_F) (states/eV per atom): 0.26

```
data_BaTl2RuF8
_chemical_formula_sum 'Ba1 Tl2 Ru1 F8'
_cell_length_a 4.671
_cell_length_b 7.885
_cell_length_c 6.438
_cell_angle_alpha 90.00
_cell_angle_beta 94.21
_cell_angle_gamma 90.00
_symmetry_space_group_name_H-M 'P 1 2/m 1'
_symmetry_Int_Tables_number 10
_symmetry_space_group_name_Hall '-P 2y'
loop_
_atom_site_label
_atom_site_type_symbol
_atom_site_fract_x
_atom_site_fract_y
_atom_site_fract_z
_atom_site_occupancy
Ba1 Ba 0.000 0.000 0.000 1
Tl1 Tl 0.500 0.260 0.500 1
Ru1 Ru 0.000 0.500 0.000 1
F1 F 0.104 0.310 0.815 1
F2 F 0.353 0.500 0.166 1
F3 F 0.488 0.000 0.240 1
```

Repeat the second record exactly.
Below is a relaxed structure of BaRu2F8, with properties calculated at the PBE level.

Results
Raw formation energy (eV/atom): -1.96
Density (Mg/m³): 3.98
Total magnetic moment (Bohr magnetons per cell): 8.0
DOS(E_F) (states/eV per atom): 0.50

```
data_BaRu2F8
_chemical_formula_sum 'Ba1 Ru2 F8'
_cell_length_a 4.142
_cell_length_b 7.559
_cell_length_c 7.562
_cell_angle_alpha 60.10
_cell_angle_beta 89.93
_cell_angle_gamma 89.95
_symmetry_space_group_name_H-M 'P -1'
_symmetry_Int_Tables_number 2
_symmetry_space_group_name_Hall '-P 1'
loop_
_atom_site_label
_atom_site_type_symbol
_atom_site_fract_x
_atom_site_fract_y
_atom_site_fract_z
_atom_site_occupancy
Ba1 Ba 0.000 0.000 0.000 1
Ru1 Ru 0.290 0.333 0.333 1
F1 F 0.211 0.667 0.667 1
F2 F 0.285 0.179 0.643 1
F3 F 0.286 0.177 0.179 1
F4 F 0.286 0.644 0.177 1
```